A plane-wave DFT calculation with PBE-GGA was carried out for a geometry-optimized NbPdW3 structure.

Cell: 4.7285 4.7285 4.7285 Å, 90.00 90.00 90.00°
Positions (direct):
Nb1 0.0000 0.0000 0.0000
Pd1 0.5000 0.5000 0.5000
W1 0.0000 0.0000 0.5000
W2 0.0000 0.5000 0.0000
W3 0.5000 0.0000 0.0000

## Properties
E_tot = -8.58 eV/atom
excess energy over the best structure of this formula in the dataset = 0.053 eV/atom
V = 106 Å³ per cell

***

A plane-wave DFT calculation with PBE-GGA was carried out for a geometry-optimized Nb3PdW structure.

Cell: 4.8486 4.8486 4.8486 Å, 90.00 90.00 90.00°
Positions (direct):
Nb1 0.0000 0.0000 0.5000
Nb2 0.0000 0.5000 0.0000
Nb3 0.5000 0.0000 0.0000
Pd1 0.5000 0.5000 0.5000
W1 0.0000 0.0000 0.0000

## Properties
E_tot = -8.30 eV/atom
excess energy over the best structure of this formula in the dataset = 0.000 eV/atom
V = 114 Å³ per cell

***

A plane-wave DFT calculation with PBE-GGA was carried out for a geometry-optimized Nb14PdW structure.

Cell: 5.7645 5.7645 9.1894 Å, 90.00 90.00 110.20°
Positions (direct):
Nb1 0.0000 0.0000 0.0000
Nb2 0.0000 0.5000 0.0000
Nb3 0.0000 0.5000 0.5000
Nb4 0.2492 0.7508 0.2534
Nb5 0.2492 0.7508 0.7466
Nb6 0.2563 0.2563 0.2532
Nb7 0.2563 0.2563 0.7468
Nb8 0.5000 0.0000 0.0000
Nb9 0.5000 0.0000 0.5000
Nb10 0.5000 0.5000 0.0000
Nb11 0.7437 0.7437 0.2532
Nb12 0.7437 0.7437 0.7468
Nb13 0.7508 0.2492 0.2534
Nb14 0.7508 0.2492 0.7466
Pd1 0.0000 0.0000 0.5000
W1 0.5000 0.5000 0.5000

## Properties
E_tot = -10.00 eV/atom
V = 287 Å³ per cell

***

A plane-wave DFT calculation with PBE-GGA was carried out for a geometry-optimized Nb2PdW structure.

Cell: 8.7424 8.7424 8.7424 Å, 20.31 20.31 20.31°
Positions (direct):
Nb1 0.2470 0.2470 0.2470
Nb2 0.7530 0.7530 0.7530
Pd1 0.0000 0.0000 0.0000
W1 0.5000 0.5000 0.5000

## Properties
E_tot = -9.41 eV/atom
V = 70 Å³ per cell

***

A plane-wave DFT calculation with PBE-GGA was carried out for a geometry-optimized NbPdW structure.

Cell: 5.0609 5.0609 5.0609 Å, 141.24 141.24 55.98°
Positions (direct):
Nb1 0.0000 0.0000 0.0000
Pd1 0.3254 0.3254 0.0000
W1 0.6566 0.6566 0.0000

## Properties
E_tot = -9.21 eV/atom
excess energy over the best structure of this formula in the dataset = 0.382 eV/atom
V = 50 Å³ per cell

***

A plane-wave DFT calculation with PBE-GGA was carried out for a geometry-optimized NbPd3W structure.

Cell: 4.7615 4.7615 4.7615 Å, 90.00 90.00 90.00°
Positions (direct):
Nb1 0.0000 0.0000 0.0000
Pd1 0.0000 0.5000 0.5000
Pd2 0.5000 0.0000 0.5000
Pd3 0.5000 0.5000 0.0000
W1 0.5000 0.5000 0.5000

## Properties
E_tot = -6.37 eV/atom
excess energy over the best structure of this formula in the dataset = 0.000 eV/atom
V = 108 Å³ per cell

***

A plane-wave DFT calculation with PBE-GGA was carried out for a geometry-optimized Nb6PdW structure.

Cell: 7.3371 7.3371 7.3371 Å, 143.17 143.17 53.08°
Positions (direct):
Nb1 0.1235 0.6235 0.5000
Nb2 0.2469 0.2469 0.0000
Nb3 0.3765 0.8765 0.5000
Nb4 0.6235 0.1235 0.5000
Nb5 0.7531 0.7531 0.0000
Nb6 0.8765 0.3765 0.5000
Pd1 0.5000 0.5000 0.0000
W1 0.0000 0.0000 0.0000

## Properties
E_tot = -9.89 eV/atom
V = 141 Å³ per cell

***

A plane-wave DFT calculation with PBE-GGA was carried out for a geometry-optimized Nb3PdW structure.

Cell: 4.7671 4.7671 4.7671 Å, 90.00 90.00 90.00°
Positions (direct):
Nb1 0.0000 0.0000 0.5000
Nb2 0.0000 0.5000 0.0000
Nb3 0.5000 0.0000 0.0000
Pd1 0.0000 0.0000 0.0000
W1 0.5000 0.5000 0.5000

## Properties
E_tot = -8.00 eV/atom
excess energy over the best structure of this formula in the dataset = 0.296 eV/atom
V = 108 Å³ per cell

***

A plane-wave DFT calculation with PBE-GGA was carried out for a geometry-optimized Nb2PdW structure.

Cell: 5.8391 5.8391 5.8391 Å, 102.75 102.75 123.96°
Positions (direct):
Nb1 0.1220 0.6250 0.9970
Nb2 0.3750 0.3720 0.4970
Nb3 0.6280 0.1250 0.0030
Nb4 0.8750 0.8780 0.5030
Pd1 0.0000 0.0000 0.0000
Pd2 0.7500 0.2500 0.5000
W1 0.2500 0.7500 0.5000
W2 0.5000 0.5000 0.0000

## Properties
E_tot = -9.03 eV/atom
V = 146 Å³ per cell

***

A plane-wave DFT calculation with PBE-GGA was carried out for a geometry-optimized NbPdW structure.

Cell: 3.2559 3.2559 9.3738 Å, 90.00 90.00 90.00°
Positions (direct):
Nb1 0.2500 0.2500 0.2399
Nb2 0.7500 0.7500 0.7601
Pd1 0.2500 0.2500 0.9126
Pd2 0.7500 0.7500 0.0874
W1 0.2500 0.2500 0.5811
W2 0.7500 0.7500 0.4189

## Properties
E_tot = -9.59 eV/atom
excess energy over the best structure of this formula in the dataset = 0.000 eV/atom
V = 99 Å³ per cell

***

A plane-wave DFT calculation with PBE-GGA was carried out for a geometry-optimized NbPdW structure.

Cell: 4.6800 4.6800 2.6377 Å, 90.00 90.00 120.00°
Positions (direct):
Nb1 0.0000 0.0000 0.0000
Pd1 0.6667 0.3333 0.0000
W1 0.3333 0.6667 0.5000

## Properties
E_tot = -9.28 eV/atom
excess energy over the best structure of this formula in the dataset = 0.310 eV/atom
V = 50 Å³ per cell

***

A plane-wave DFT calculation with PBE-GGA was carried out for a geometry-optimized Nb2PdW structure.

Cell: 3.2861 3.2861 6.3292 Å, 90.00 90.00 90.00°
Positions (direct):
Nb1 0.0000 0.0000 0.2394
Nb2 0.0000 0.0000 0.7606
Pd1 0.5000 0.5000 0.5000
W1 0.5000 0.5000 0.0000

## Properties
E_tot = -9.67 eV/atom
V = 68 Å³ per cell

***

A plane-wave DFT calculation with PBE-GGA was carried out for a geometry-optimized NbPdW3 structure.

Cell: 4.6948 4.6948 4.6948 Å, 90.00 90.00 90.00°
Positions (direct):
Nb1 0.0000 0.0000 0.0000
Pd1 0.5000 0.5000 0.5000
W1 0.0000 0.5000 0.5000
W2 0.5000 0.0000 0.5000
W3 0.5000 0.5000 0.0000

## Properties
E_tot = -8.63 eV/atom
excess energy over the best structure of this formula in the dataset = 0.000 eV/atom
V = 103 Å³ per cell

***

| no. | energy of formation (eV/atom) | total magnetization (μB/f.u.) |
| --- | --- | --- |
| 1 | 2.246 | 0.00 |
| 2 | 1.374 | 0.00 |
| 3 | -0.057 | 0.00 |
| 4 | 0.165 | 0.00 |
| 5 | 0.199 | 0.00 |
| 6 | 1.353 | 1.97 |
| 7 | -0.069 | 0.00 |
| 8 | 1.670 | 0.00 |
| 9 | 0.541 | 0.00 |
| 10 | -0.182 | 0.00 |
| 11 | 0.127 | 0.00 |
| 12 | -0.099 | 0.00 |
| 13 | 2.193 | 0.00 |